(1)
BaPt2Au3 | OQMD via LeMat-Bulk | PBE-GGA | optimized geometry; space-group type = No. 191; raw total energy = -26.4 eV/f.u.; volume = 21.5 A^3/atom
1.0
-1.128 -3.262 4.600
-3.360 -0.333 -4.655
2.624 -3.252 -1.662
Au Ba Pt
3 1 2
Direct
0.500 0.000 0.500
0.000 0.500 0.500
0.500 0.500 0.500
0.000 0.000 0.000
0.667 0.333 0.000
0.333 0.667 0.000



(2)
BaPt3Au2 | OQMD via LeMat-Bulk | PBE-GGA | optimized geometry; space-group type = No. 191; raw total energy = -29.5 eV/f.u.; volume = 20.7 A^3/atom
1.0
-2.373 -3.232 3.972
1.446 -2.245 -4.973
4.075 -0.988 1.631
Au Pt Ba
2 3 1
Direct
0.333 0.667 0.000
0.667 0.333 0.000
0.500 0.500 0.500
0.500 0.000 0.500
0.000 0.500 0.500
0.000 0.000 0.000



(3)
Ba2PtAu | OQMD via LeMat-Bulk | PBE-GGA | optimized geometry; space-group type = No. 216; raw total energy = -14.6 eV/f.u.; volume = 26.9 A^3/atom
1.0
4.111 1.148 3.206
-0.838 2.590 4.592
0.555 -2.563 4.650
Ba Au Pt
2 1 1
Direct
0.000 0.000 0.000
0.750 0.750 0.750
0.250 0.250 0.250
0.500 0.500 0.500



(4)
Ba2PtAuS6 | OQMD via LeMat-Bulk | PBE-GGA | optimized geometry; space-group type = No. 225; raw total energy = -44.4 eV/f.u.; volume = 23.7 A^3/atom
1.0
-6.553 1.315 1.901
-2.194 -5.338 -3.869
-3.858 -5.016 2.869
Ba S Pt Au
2 6 1 1
Direct
0.750 0.250 0.500
0.250 0.750 0.500
0.245 0.245 0.510
0.245 0.755 0.000
0.755 0.755 0.490
0.245 0.245 0.000
0.755 0.245 0.000
0.755 0.755 0.000
0.000 0.000 0.000
0.500 0.500 0.000



(5)
BaPtAu2Se4 | OQMD via LeMat-Bulk | PBE-GGA | optimized geometry; space-group type = No. 23; raw total energy = -32.4 eV/f.u.; volume = 27.0 A^3/atom
1.0
4.648 0.909 4.554
-5.490 -1.078 3.443
1.912 -4.892 -3.947
Se Ba Pt Au
4 1 1 2
Direct
0.879 0.834 0.383
0.451 0.496 0.617
0.549 0.166 0.045
0.121 0.504 0.955
0.000 0.000 0.000
0.500 0.500 0.000
0.178 0.678 0.500
0.822 0.322 0.500



(6)
BaZn2PtAu | OQMD via LeMat-Bulk | PBE-GGA | optimized geometry; space-group type = No. 107; raw total energy = -16.6 eV/f.u.; volume = 22.6 A^3/atom
1.0
-2.233 2.233 5.670
2.233 -2.233 5.670
2.233 2.233 -5.670
Ba Zn Pt Au
1 2 1 1
Direct
0.003 0.003 0.000
0.244 0.744 0.500
0.744 0.244 0.500
0.629 0.629 0.000
0.380 0.380 0.000



(7)
BaPuAu | OQMD via LeMat-Bulk | PBE-GGA | optimized geometry; space-group type = No. 216; raw total energy = -18.8 eV/f.u.; volume = 33.1 A^3/atom
1.0
0.000 3.675 3.675
3.675 0.000 3.675
3.675 3.675 0.000
Ba Pu Au
1 1 1
Direct
0.750 0.750 0.750
0.000 0.000 0.000
0.250 0.250 0.250



(8)
Rb4Ba3Au2 | OQMD via LeMat-Bulk | PBE-GGA | optimized geometry; space-group type = No. 174; raw total energy = -17.6 eV/f.u.; volume = 53.3 A^3/atom
1.0
10.984 0.000 0.000
-5.492 9.512 0.000
0.000 0.000 4.589
Ba Rb Au
3 4 2
Direct
0.101 0.647 0.500
0.546 0.899 0.500
0.353 0.454 0.500
0.786 0.751 0.000
0.965 0.214 0.000
0.249 0.035 0.000
0.667 0.333 0.000
0.000 0.000 0.500
0.333 0.667 0.000